## La6MgAg (PBE)

Data for La6MgAg after structural relaxation.

Output
**Energy relative to the lowest polymorph listed for this composition**: 0 meV per atom
**Density**: 6.1 g/cm³
**Electronic total energy**: -4.319 eV/atom
**Size of the total moment**: 0.00 μB/cell
**Symmetry**: I4/mmm, No. 139
**Formation energy**: -68 meV per atom

Structure (POSCAR):
```
La6MgAg
1.0
-2.679 2.679 9.183
2.679 -2.679 9.183
2.679 2.679 -9.183
La Mg Ag
6 1 1
Direct
0.112 0.612 0.500 La
0.248 0.248 0.000 La
0.388 0.888 0.500 La
0.612 0.112 0.500 La
0.752 0.752 0.000 La
0.888 0.388 0.500 La
0.000 0.000 0.000 Mg
0.500 0.500 0.000 Ag
```

## La4Mg3Ag (PBE)

Data for La4Mg3Ag after structural relaxation.

Output
**Density**: 5.1 g/cm³
**Electronic total energy**: -3.567 eV/atom
**Size of the total moment**: 0.00 μB/cell
**Symmetry**: P4/mmm, No. 123
**Formation energy**: -149 meV per atom

Structure (POSCAR):
```
La4Mg3Ag
1.0
3.954 0.000 0.000
0.000 3.954 0.000
0.000 0.000 15.486
La Mg Ag
4 3 1
Direct
0.000 0.000 0.118 La
0.000 0.000 0.372 La
0.000 0.000 0.628 La
0.000 0.000 0.882 La
0.500 0.500 0.248 Mg
0.500 0.500 0.500 Mg
0.500 0.500 0.752 Mg
0.500 0.500 0.000 Ag
```

## LaMg3Ag (PBE)

Data for LaMg3Ag after structural relaxation.

Output
**Energy relative to the lowest polymorph listed for this composition**: 1377 meV per atom
**Density**: 2.2 g/cm³
**Electronic total energy**: -1.293 eV/atom
**Size of the total moment**: 0.01 μB/cell
**Symmetry**: Pm-3m, No. 221
**Formation energy**: 1219 meV per atom

Structure (POSCAR):
```
LaMg3Ag
1.0
6.182 0.000 0.000
0.000 6.182 0.000
0.000 0.000 6.182
La Mg Ag
1 3 1
Direct
0.000 0.000 0.000 La
0.000 0.000 0.500 Mg
0.000 0.500 0.000 Mg
0.500 0.000 0.000 Mg
0.500 0.500 0.500 Ag
```